The following is a GGA-PBE calculation of BaRh after structural relaxation, from Alexandria via LeMat-Bulk.

Computed properties:
formation enthalpy at 0 K	-0.06	eV/atom
VASP energy	-18.773	eV per cell

Cell lengths 4.4573, 4.5456, 7.5969 Å; angles 90.00, 90.00, 90.00 degrees
Closest atoms and distances in Å follow each position.
Element x y z (fractional)
Ba (0.0000, 0.2500, 0.2306)  6 Rh 3.14-3.43
Ba (0.0000, 0.7500, 0.7694)  6 Rh 3.14-3.43
Rh (0.5000, 0.2500, 0.9392)  2 Rh 2.45
Rh (0.5000, 0.7500, 0.0608)  2 Rh 2.45



The following is a GGA-PBE calculation of Ba4Rh after structural relaxation, from Alexandria via LeMat-Bulk.

Computed properties:
formation enthalpy at 0 K	0.05	eV/atom
energy above the most stable polymorph in this dataset	205	meV per atom
VASP energy	-29.618	eV per cell

Cell lengths 9.2828, 9.2828, 9.2828 Å; angles 60.00, 60.00, 60.00 degrees
Closest atoms and distances in Å follow each position.
Element x y z (fractional)
Ba (0.8739, 0.8739, 0.8739)  1 Rh 2.87
Ba (0.8739, 0.3782, 0.8739)  1 Rh 2.87
Ba (0.8739, 0.8739, 0.3782)  1 Rh 2.87
Ba (0.3761, 0.8718, 0.3761)  1 Rh 2.87
Ba (0.3761, 0.3761, 0.3761)  1 Rh 2.87
Ba (0.3782, 0.8739, 0.8739)  1 Rh 2.87
Ba (0.3761, 0.3761, 0.8718)  1 Rh 2.87
Ba (0.8718, 0.3761, 0.3761)  1 Rh 2.87
Rh (0.2500, 0.2500, 0.2500)  4 Ba 2.87
Rh (0.0000, 0.0000, 0.0000)  4 Ba 2.87



The following is a GGA-PBE calculation of BaRh after structural relaxation, from Alexandria via LeMat-Bulk.

Computed properties:
formation enthalpy at 0 K	0.25	eV/atom
VASP energy	-17.538	eV per cell

Cell lengths 6.2436, 6.2436, 6.2436 Å; angles 138.22, 138.22, 60.57 degrees
Closest atoms and distances in Å follow each position.
Element x y z (fractional)
Ba (0.0000, 0.0000, 0.0000)  8 Rh 3.15-3.50, 4 Ba 3.50
Ba (0.7500, 0.2500, 0.5000)  8 Rh 3.15-3.50, 4 Ba 3.50
Rh (0.5000, 0.5000, 0.0000)  8 Ba 3.15-3.50, 4 Rh 3.50
Rh (0.2500, 0.7500, 0.5000)  8 Ba 3.15-3.50, 4 Rh 3.50